# NdCuPt3

A relaxed NdCuPt3 crystal (PBE-GGA, the Alexandria database).

ΔH_f (0 K): -616 meV/atom
Calculated total energy: -30.07 eV/f.u.
SG: Imma (74)
D(E_F): 4.7 states/eV/cell

Cell: 5.4216 9.0785 6.5171 Å, 134.15 114.58 90.00°
Fractional coordinates of all 10 atoms:
1 Pt 0.8042 0.3042 0.1083
2 Pt 0.7500 0.0703 0.5000
3 Pt 0.3042 0.3042 0.1083
4 Pt 0.6958 0.6958 0.8917
5 Pt 0.1958 0.6958 0.8917
6 Pt 0.2500 0.9297 0.5000
7 Cu 0.0000 0.5000 0.0000
8 Cu 0.5000 0.0000 0.0000
9 Nd 0.7500 0.7499 0.5000
10 Nd 0.2500 0.2501 0.5000